K2Rb2Pb | PBE | optimized geometry

Summary:
The value obtained for the magnetization is 0.5 μB per formula unit. Its formation energy is 98 kJ/mol of formula units. The density of states at the Fermi level comes out at 4.811 states/eV/cell.

Structure (extended XYZ):
```
5
Lattice="-0.9593 -3.7014 -3.5732 4.1611 1.5792 -2.7530 5.2555 -6.5214 9.1769" Properties=species:S:1:pos:R:3 pbc="T T T"
K 2.9486 -5.6419 1.2203
K 5.5088 -3.0016 1.6304
Rb 5.7415 -6.3494 5.0359
Rb 2.7159 -2.2941 -2.1852
Pb 0.0000 0.0000 0.0000
```